Crystalline MnCdSe2O8 at its relaxed geometry. Source: the Alexandria database, functional PBE+U.

Calculated values
VASP energy (eV/atom): -5.48

Cell: 5.9986 5.9986 5.9986 Å, 105.46 105.46 117.82°
Each line ends with the local moment (μB).
Sites, in units of the cell vectors:
Mn (0.0000, 0.0000, 0.0000)  4.68
Cd (0.2500, 0.7500, 0.5000)  0.00
Se (0.7500, 0.2500, 0.5000)  0.02
Se (0.5000, 0.5000, 0.0000)  0.01
O (0.3997, 0.0801, 0.3196)  0.01
O (0.3233, 0.4986, 0.1753)  0.01
O (0.3233, 0.1480, 0.8247)  0.01
O (0.7605, 0.0801, 0.6804)  0.01
O (0.8520, 0.6767, 0.1753)  0.01
O (0.9199, 0.2395, 0.3196)  0.01
O (0.9199, 0.6003, 0.6804)  0.01
O (0.5014, 0.6767, 0.8247)  0.01